(1)
PBE Zn2CdSi, optimized geometry; ΔE_f (raw) = 0.2843 eV/atom; energy above the most stable polymorph in this dataset = 71.3 meV per atom; raw total energy = -1.937 eV per atom; crystal system = orthorhombic; mass density = 6.23 g/cm3
1.0
2.627 0.000 0.000
0.000 5.173 0.000
0.000 0.000 5.317
Zn Cd Si
2 1 1
Cartesian
0.000 0.000 0.000 Zn
1.314 0.000 2.659 Zn
0.000 2.587 2.659 Cd
1.314 2.587 0.000 Si

(2)
PBE Zn3CdSi, optimized geometry; ΔE_f (raw) = 0.3596 eV/atom; energy above the most stable polymorph in this dataset = 0.0 meV per atom; raw total energy = -1.672 eV per atom; crystal system = cubic; mass density = 4.99 g/cm3
1.0
4.821 0.000 0.000
0.000 4.821 0.000
0.000 0.000 4.821
Zn Cd Si
3 1 1
Cartesian
0.000 0.000 2.411 Zn
0.000 2.411 0.000 Zn
2.411 0.000 0.000 Zn
2.411 2.411 2.411 Cd
0.000 0.000 0.000 Si

(3)
PBE ZnCd4Si, optimized geometry; ΔE_f (raw) = 0.4067 eV/atom; raw total energy = -1.320 eV per atom; crystal system = cubic; mass density = 6.73 g/cm3
1.0
0.000 4.062 4.062
4.062 0.000 4.062
4.062 4.062 0.000
Zn Cd Si
1 4 1
Cartesian
0.000 0.000 0.000 Zn
5.079 3.045 3.045 Cd
3.045 5.079 3.045 Cd
3.045 3.045 5.079 Cd
5.079 5.079 5.079 Cd
2.031 2.031 2.031 Si

(4)
PBE ZnCdSi2, optimized geometry; ΔE_f (raw) = 0.3842 eV/atom; energy above the most stable polymorph in this dataset = 112.8 meV per atom; raw total energy = -2.875 eV per atom; crystal system = monoclinic; mass density = 5.42 g/cm3
1.0
2.955 0.000 0.000
0.000 5.075 0.000
-0.177 0.000 4.780
Zn Cd Si
1 1 2
Cartesian
0.000 0.000 0.000 Zn
1.389 0.000 2.390 Cd
0.714 2.538 1.002 Si
2.064 2.538 3.778 Si